An optimized crystal structure of Tm5Pu3Th12. Source: the Alexandria database, functional PBE.

Computed properties:
**Total energy**: -132.55 eV/f.u.
**Calculated volume**: 3086 Å³ per cell

a = 15.8861 Å, b = 15.8861 Å, c = 15.8861 Å
α = 109.47°, β = 109.47°, γ = 109.47°
With the nearest neighbours (Å) after each atom.
Fractional positions:
Pu1 0.1250 0.2500 0.8750  4 Th 2.93
Pu2 0.8750 0.1250 0.2500  4 Th 2.93
Pu3 0.6250 0.2500 0.3750  4 Th 2.93
Pu4 0.7500 0.8750 0.6250  4 Th 2.93
Pu5 0.6250 0.3750 0.7500  4 Th 2.93
Pu6 0.2500 0.1250 0.3750  4 Th 2.93
Pu7 0.1250 0.8750 0.7500  4 Th 2.93
Pu8 0.3750 0.6250 0.2500  4 Th 2.93
Pu9 0.2500 0.6250 0.8750  4 Th 2.93
Pu10 0.7500 0.3750 0.1250  4 Th 2.93
Pu11 0.3750 0.7500 0.6250  4 Th 2.93
Pu12 0.8750 0.7500 0.1250  4 Th 2.93
Tm1 0.3750 0.2500 0.1250  4 Th 3.29
Tm2 0.2500 0.3750 0.6250  4 Th 3.29
Tm3 0.1250 0.3750 0.2500  4 Th 3.29
Tm4 0.8750 0.6250 0.7500  4 Th 3.29
Tm5 0.0000 0.0000 0.5000  6 Th 3.16
Tm6 0.8750 0.2500 0.6250  4 Th 3.29
Tm7 0.5000 0.0000 0.5000  6 Th 3.16
Tm8 0.7500 0.1250 0.8750  4 Th 3.29
Tm9 0.1250 0.7500 0.3750  4 Th 3.29
Tm10 0.5000 0.0000 0.0000  6 Th 3.16
Tm11 0.0000 0.5000 0.0000  6 Th 3.16
Tm12 0.0000 0.0000 0.0000  6 Th 3.16
Tm13 0.3750 0.1250 0.7500  4 Th 3.29
Tm14 0.6250 0.8750 0.2500  4 Th 3.29
Tm15 0.0000 0.5000 0.5000  6 Th 3.16
Tm16 0.5000 0.5000 0.0000  6 Th 3.16
Tm17 0.2500 0.8750 0.1250  4 Th 3.29
Tm18 0.6250 0.7500 0.8750  4 Th 3.29
Tm19 0.7500 0.6250 0.3750  4 Th 3.29
Tm20 0.5000 0.5000 0.5000  6 Th 3.16
Th1 0.5533 0.6329 0.3960  1 Pu 2.93, 1 Tm 3.16, 1 Th 3.27
Th2 0.1329 0.3960 0.0533  1 Pu 2.93, 1 Tm 3.16, 1 Th 3.27
Th3 0.1573 0.1040 0.7369  1 Pu 2.93, 1 Tm 3.16, 1 Th 3.27
Th4 0.2631 0.3960 0.8427  1 Pu 2.93, 1 Tm 3.16, 1 Th 3.27
Th5 0.6040 0.7369 0.6573  1 Pu 2.93, 1 Tm 3.16, 1 Th 3.27
Th6 0.5796 0.3427 0.9467  1 Pu 2.93, 1 Tm 3.16, 1 Th 3.27
Th7 0.8427 0.9467 0.0796  1 Pu 2.93, 1 Tm 3.16, 1 Th 3.27
Th8 0.9204 0.5533 0.1573  1 Pu 2.93, 1 Tm 3.16, 1 Th 3.27
Th9 0.6329 0.5533 0.8960  1 Pu 2.93, 1 Tm 3.16, 1 Th 3.27
Th10 0.0796 0.4467 0.8427  1 Pu 2.93, 1 Tm 3.16, 1 Th 3.27
Th11 0.4467 0.0796 0.3427  1 Pu 2.93, 1 Tm 3.16, 1 Th 3.27
Th12 0.9467 0.8427 0.5796  1 Pu 2.93, 1 Tm 3.16, 1 Th 3.27
Th13 0.7631 0.3427 0.8960  1 Pu 2.93, 1 Tm 3.16, 1 Th 3.27
Th14 0.3427 0.7631 0.3960  1 Pu 2.93, 1 Tm 3.16, 1 Th 3.27
Th15 0.0533 0.8960 0.1329  1 Pu 2.93, 1 Tm 3.16, 1 Th 3.27
Th16 0.8960 0.0533 0.6329  1 Pu 2.93, 1 Tm 3.16, 1 Th 3.27
Th17 0.5533 0.9204 0.6573  1 Pu 2.93, 1 Tm 3.16, 1 Th 3.27
Th18 0.0796 0.6329 0.7369  1 Pu 2.93, 1 Tm 3.16, 1 Th 3.27
Th19 0.8427 0.8960 0.2631  1 Pu 2.93, 1 Tm 3.16, 1 Th 3.27
Th20 0.5796 0.2369 0.1329  1 Pu 2.93, 1 Tm 3.16, 1 Th 3.27
Th21 0.4204 0.7631 0.8671  1 Pu 2.93, 1 Tm 3.16, 1 Th 3.27
Th22 0.6040 0.8671 0.4467  1 Pu 2.93, 1 Tm 3.16, 1 Th 3.27
Th23 0.1573 0.0533 0.9204  1 Pu 2.93, 1 Tm 3.16, 1 Th 3.27
Th24 0.3671 0.4467 0.1040  1 Pu 2.93, 1 Tm 3.16, 1 Th 3.27
Th25 0.7369 0.1329 0.0796  1 Pu 2.93, 1 Tm 3.16, 1 Th 3.27
Th26 0.6573 0.4204 0.5533  1 Pu 2.93, 1 Tm 3.16, 1 Th 3.27
Th27 0.3960 0.2631 0.3427  1 Pu 2.93, 1 Tm 3.16, 1 Th 3.27
Th28 0.2631 0.8671 0.9204  1 Pu 2.93, 1 Tm 3.16, 1 Th 3.27
Th29 0.0533 0.1573 0.4204  1 Pu 2.93, 1 Tm 3.16, 1 Th 3.27
Th30 0.9467 0.1040 0.8671  1 Pu 2.93, 1 Tm 3.16, 1 Th 3.27
Th31 0.8960 0.8427 0.7631  1 Pu 2.93, 1 Tm 3.16, 1 Th 3.27
Th32 0.2369 0.5796 0.6329  1 Pu 2.93, 1 Tm 3.16, 1 Th 3.27
Th33 0.1040 0.9467 0.3671  1 Pu 2.93, 1 Tm 3.16, 1 Th 3.27
Th34 0.6329 0.0796 0.2369  1 Pu 2.93, 1 Tm 3.16, 1 Th 3.27
Th35 0.8671 0.2631 0.4204  1 Pu 2.93, 1 Tm 3.16, 1 Th 3.27
Th36 0.4204 0.6573 0.0533  1 Pu 2.93, 1 Tm 3.16, 1 Th 3.27
Th37 0.4467 0.3671 0.6040  1 Pu 2.93, 1 Tm 3.16, 1 Th 3.27
Th38 0.1329 0.7369 0.5796  1 Pu 2.93, 1 Tm 3.16, 1 Th 3.27
Th39 0.9204 0.3671 0.2631  1 Pu 2.93, 1 Tm 3.16, 1 Th 3.27
Th40 0.3427 0.5796 0.4467  1 Pu 2.93, 1 Tm 3.16, 1 Th 3.27
Th41 0.2369 0.6573 0.1040  1 Pu 2.93, 1 Tm 3.16, 1 Th 3.27
Th42 0.8671 0.6040 0.9467  1 Pu 2.93, 1 Tm 3.16, 1 Th 3.27
Th43 0.7631 0.4204 0.3671  1 Pu 2.93, 1 Tm 3.16, 1 Th 3.27
Th44 0.3671 0.9204 0.7631  1 Pu 2.93, 1 Tm 3.16, 1 Th 3.27
Th45 0.6573 0.2369 0.6040  1 Pu 2.93, 1 Tm 3.16, 1 Th 3.27
Th46 0.3960 0.1329 0.5533  1 Pu 2.93, 1 Tm 3.16, 1 Th 3.27
Th47 0.7369 0.6040 0.1573  1 Pu 2.93, 1 Tm 3.16, 1 Th 3.27
Th48 0.1040 0.1573 0.2369  1 Pu 2.93, 1 Tm 3.16, 1 Th 3.27

=====

An optimized crystal structure of Tb2Dy4Tl. Source: the Alexandria database, functional PBE.

Computed properties:
**Total energy**: -30.04 eV/f.u.
**Calculated volume**: 433 Å³ per cell
**ΔE to the lowest computed polymorph**: 4.85 kJ per mole of atoms

a = 5.6683 Å, b = 6.7429 Å, c = 11.7235 Å
α = 90.00°, β = 105.12°, γ = 90.00°
With the nearest neighbours (Å) after each atom.
Fractional positions:
Dy1 0.6286 0.0098 0.2925  4 Dy 3.24-3.60, 1 Tl 3.41, 3 Tb 3.52-3.57
Dy2 0.8182 0.2500 0.5849  1 Tl 3.12, 4 Tb 3.26-3.39
Dy3 0.0302 0.2500 0.1424  3 Tl 3.24-3.42, 3 Tb 3.35-3.42, 2 Dy 3.60
Dy4 0.1818 0.7500 0.4151  1 Tl 3.12, 4 Tb 3.26-3.39
Dy5 0.3714 0.5098 0.7075  4 Dy 3.24-3.60, 1 Tl 3.41, 3 Tb 3.52-3.57
Dy6 0.9698 0.7500 0.8576  3 Tl 3.24-3.42, 3 Tb 3.35-3.42, 2 Dy 3.60
Dy7 0.3714 0.9902 0.7075  4 Dy 3.24-3.60, 1 Tl 3.41, 3 Tb 3.52-3.57
Dy8 0.6286 0.4902 0.2925  4 Dy 3.24-3.60, 1 Tl 3.41, 3 Tb 3.52-3.57
Tb1 0.5654 0.7500 0.0214  2 Tl 3.13-3.17, 2 Dy 3.35-3.42, 2 Tb 3.46
Tb2 0.7671 0.7500 0.5628  9 Dy 3.26-3.54
Tb3 0.4346 0.2500 0.9786  2 Tl 3.13-3.17, 2 Dy 3.35-3.42, 2 Tb 3.46
Tb4 0.2329 0.2500 0.4372  9 Dy 3.26-3.54
Tl1 0.8725 0.2500 0.8565  6 Dy 3.12-3.42, 2 Tb 3.13-3.17
Tl2 0.1275 0.7500 0.1435  6 Dy 3.12-3.42, 2 Tb 3.13-3.17

=====

An optimized crystal structure of MgBePt2. Source: the Alexandria database, functional PBE.

Computed properties:
**Total energy**: -20.67 eV/f.u.
**Calculated volume**: 55 Å³ per cell

a = 2.8403 Å, b = 2.8403 Å, c = 6.7923 Å
α = 90.00°, β = 90.00°, γ = 90.01°
With the nearest neighbours (Å) after each atom.
Fractional positions:
Be1 0.5000 0.5000 0.2500  8 Pt 2.47
Pt1 0.0000 0.0000 0.0374  4 Be 2.47
Pt2 0.0000 0.0000 0.4626  4 Be 2.47
Mg1 0.5000 0.5000 0.7500  8 Pt 2.80, 4 Mg 2.84

=====

An optimized crystal structure of Co2TeCl. Source: the Alexandria database, functional PBE.

Computed properties:
**Total energy**: -17.41 eV/f.u.
**Calculated volume**: 68 Å³ per cell
**ΔE to the lowest computed polymorph**: 49.83 kJ per mole of atoms

a = 3.2020 Å, b = 3.2020 Å, c = 6.6075 Å
α = 90.00°, β = 90.00°, γ = 90.00°
With the nearest neighbours (Å) after each atom.
Fractional positions:
Cl1 0.5000 0.5000 0.7500  8 Co 2.97, 4 Cl 3.20, 2 Te 3.30
Te1 0.5000 0.5000 0.2500  8 Co 2.66
Co1 0.0000 0.0000 0.0397  4 Te 2.66, 1 Co 2.78, 4 Cl 2.97
Co2 0.0000 0.0000 0.4603  4 Te 2.66, 1 Co 2.78, 4 Cl 2.97

=====

An optimized crystal structure of LaCuIr2. Source: the Alexandria database, functional PBE.

Computed properties:
**Total energy**: -28.34 eV/f.u.
**Calculated volume**: 82 Å³ per cell
**ΔE to the lowest computed polymorph**: 0.00 kJ per mole of atoms

a = 4.4048 Å, b = 4.4048 Å, c = 5.5280 Å
α = 66.32°, β = 66.32°, γ = 60.04°
With the nearest neighbours (Å) after each atom.
Fractional positions:
La1 0.4939 0.4939 0.5182  1 Cu 2.85, 1 Ir 2.87
Cu1 0.2998 0.2998 0.1000  6 Ir 2.65-2.67, 1 La 2.85
Ir1 0.0168 0.0168 0.9499  3 Ir 2.54-2.55, 3 Cu 2.65
Ir2 0.6894 0.6894 0.9319  3 Ir 2.54-2.55, 3 Cu 2.67

=====

An optimized crystal structure of Pa5Sb2Se5. Source: the Alexandria database, functional PBE.

Computed properties:
**Total energy**: -84.64 eV/f.u.
**Calculated volume**: 319 Å³ per cell

a = 4.0422 Å, b = 7.4346 Å, c = 11.1212 Å
α = 97.32°, β = 90.00°, γ = 105.77°
With the nearest neighbours (Å) after each atom.
Fractional positions:
Se1 0.6461 0.2923 0.0478  5 Pa 2.91-3.00, 1 Se 3.25
Se2 0.5000 0.0000 0.5000  4 Pa 2.75
Se3 0.3539 0.7077 0.9522  5 Pa 2.91-3.00, 1 Se 3.25
Se4 0.7040 0.4079 0.3403  5 Pa 2.86-2.94
Se5 0.2960 0.5921 0.6597  5 Pa 2.86-2.94
Sb1 0.0564 0.1127 0.7455  5 Pa 3.04-3.40, 2 Se 3.41
Sb2 0.9436 0.8873 0.2545  5 Pa 3.04-3.40, 2 Se 3.41
Pa1 0.2744 0.5489 0.1831  5 Se 2.94-3.00, 2 Sb 3.17
Pa2 0.7256 0.4511 0.8169  5 Se 2.94-3.00, 2 Sb 3.17
Pa3 0.1279 0.2558 0.4813  5 Se 2.75-2.91
Pa4 0.8721 0.7442 0.5187  5 Se 2.75-2.91
Pa5 0.0000 0.0000 0.0000  4 Se 2.91, 2 Sb 3.04

=====

An optimized crystal structure of NaHfFeAu2. Source: the Alexandria database, functional PBE.

Computed properties:
**Total energy**: -22.34 eV/f.u.
**Calculated volume**: 105 Å³ per cell
**ΔE to the lowest computed polymorph**: 0.00 kJ per mole of atoms

a = 4.8303 Å, b = 4.5006 Å, c = 4.8303 Å
α = 90.00°, β = 90.00°, γ = 90.00°
With the nearest neighbours (Å) after each atom.
Fractional positions:
Fe1 0.0000 0.0000 0.0000  2 Na 2.25, 4 Au 2.42
Na1 0.0000 0.5000 0.0000  2 Fe 2.25
Au1 0.5000 0.0000 0.0000  2 Fe 2.42
Au2 0.0000 0.0000 0.5000  2 Fe 2.42
Hf1 0.5000 0.5000 0.5000  8 Au 3.30, 4 Na 3.42

=====

An optimized crystal structure of La2NdIn2Ag2. Source: the Alexandria database, functional PBE.

Computed properties:
**Total energy**: -28.15 eV/f.u.
**Calculated volume**: 194 Å³ per cell

a = 4.9375 Å, b = 4.9375 Å, c = 9.6154 Å
α = 75.12°, β = 75.12°, γ = 60.00°
With the nearest neighbours (Å) after each atom.
Fractional positions:
Ag1 0.6045 0.6045 0.1865  3 In 2.86
Ag2 0.3955 0.3955 0.8135  3 In 2.86
In1 0.2646 0.2646 0.2061  3 Ag 2.86
In2 0.7354 0.7354 0.7939  3 Ag 2.86
La1 0.8719 0.8719 0.3844  3 In 3.29, 3 Ag 3.38, 1 Nd 3.53, 3 La 3.55
La2 0.1281 0.1281 0.6156  3 In 3.29, 3 Ag 3.38, 1 Nd 3.53, 3 La 3.55
Nd1 0.0000 0.0000 0.0000  6 Ag 3.33, 6 In 3.42, 2 La 3.53

=====

An optimized crystal structure of K8Rb2Na. Source: the Alexandria database, functional PBE.

Computed properties:
**Total energy**: -11.68 eV/f.u.
**Calculated volume**: 812 Å³ per cell
**ΔE to the lowest computed polymorph**: 2.03 kJ per mole of atoms

a = 8.4988 Å, b = 13.8233 Å, c = 13.8233 Å
α = 36.37°, β = 59.25°, γ = 59.25°
With the nearest neighbours (Å) after each atom.
Fractional positions:
K1 0.7238 0.5905 0.5905  8 K 4.48-4.97, 2 Rb 4.80, 2 Na 4.88
K2 0.7811 0.1709 0.6724  1 Na 4.05, 5 K 4.30-4.51
K3 0.7811 0.6724 0.1709  1 Na 4.05, 5 K 4.30-4.51
K4 0.8765 0.2566 0.2566  7 K 4.48-4.73, 2 Rb 4.53-4.60
K5 0.1235 0.7434 0.7434  7 K 4.48-4.73, 2 Rb 4.53-4.60
K6 0.2762 0.4095 0.4095  8 K 4.48-4.97, 2 Rb 4.80, 2 Na 4.88
K7 0.2189 0.3276 0.8291  1 Na 4.05, 5 K 4.30-4.51
K8 0.2189 0.8291 0.3276  1 Na 4.05, 5 K 4.30-4.51
Na1 0.0000 0.0000 0.0000  4 K 4.05, 2 Rb 4.34
Rb1 0.5057 0.1817 0.1817  1 Na 4.34, 4 K 4.53-4.80
Rb2 0.4943 0.8183 0.8183  1 Na 4.34, 4 K 4.53-4.80

=====

An optimized crystal structure of HfInGa3. Source: the Alexandria database, functional PBE.

Computed properties:
**Total energy**: -19.32 eV/f.u.
**Calculated volume**: 147 Å³ per cell
**ΔE to the lowest computed polymorph**: 0.00 kJ per mole of atoms

a = 5.2792 Å, b = 5.2792 Å, c = 5.2792 Å
α = 90.00°, β = 90.00°, γ = 90.00°
With the nearest neighbours (Å) after each atom.
Fractional positions:
Ga1 0.0000 0.0000 0.5000  2 Hf 2.64
Ga2 0.5000 0.0000 0.0000  2 Hf 2.64
Ga3 0.0000 0.5000 0.0000  2 Hf 2.64
In1 0.5000 0.5000 0.5000  12 Ga 3.73
Hf1 0.0000 0.0000 0.0000  6 Ga 2.64

=====

An optimized crystal structure of TaTeRh2. Source: the Alexandria database, functional PBE.

Computed properties:
**Total energy**: -28.85 eV/f.u.
**Calculated volume**: 196 Å³ per cell

a = 5.8013 Å, b = 5.8013 Å, c = 7.1154 Å
α = 65.94°, β = 65.94°, γ = 90.00°
With the nearest neighbours (Å) after each atom.
Fractional positions:
Te1 0.5000 0.5000 0.0000  4 Rh 2.56
Te2 0.2500 0.7500 0.5000  4 Rh 2.56
Rh1 0.3750 0.3601 0.7500  2 Ta 2.46, 2 Te 2.56
Rh2 0.1101 0.6250 0.2500  2 Ta 2.46, 2 Te 2.56
Rh3 0.6399 0.1250 0.2500  2 Ta 2.46, 2 Te 2.56
Rh4 0.8750 0.8899 0.7500  2 Ta 2.46, 2 Te 2.56
Ta1 0.7500 0.2500 0.5000  4 Rh 2.46
Ta2 0.0000 0.0000 0.0000  4 Rh 2.46

=====

The highest calculated volume belongs to which entry? Tm5Pu3Th12

=====

Which of these has the lowest calculated volume? MgBePt2